1.
Al12Ga17 | PBE | relaxed

Unit cell a=8.796 b=8.796 c=8.796 alpha=109.47 beta=109.47 gamma=109.47
Sites, in units of the cell vectors:
Al (0.000, 0.613, 0.806)
Al (0.000, 0.806, 0.613)
Al (0.193, 0.387, 0.387)
Al (0.194, 0.194, 0.807)
Al (0.194, 0.807, 0.194)
Al (0.387, 0.193, 0.387)
Al (0.387, 0.387, 0.193)
Al (0.613, 0.000, 0.806)
Al (0.613, 0.806, 0.000)
Al (0.806, 0.000, 0.613)
Al (0.806, 0.613, 0.000)
Al (0.807, 0.194, 0.194)
Ga (0.000, 0.000, 0.000)
Ga (0.000, 0.000, 0.323)
Ga (0.000, 0.307, 0.586)
Ga (0.000, 0.323, 0.000)
Ga (0.000, 0.586, 0.307)
Ga (0.279, 0.693, 0.693)
Ga (0.307, 0.000, 0.586)
Ga (0.307, 0.586, 0.000)
Ga (0.323, 0.000, 0.000)
Ga (0.414, 0.414, 0.721)
Ga (0.414, 0.721, 0.414)
Ga (0.586, 0.000, 0.307)
Ga (0.586, 0.307, 0.000)
Ga (0.677, 0.677, 0.677)
Ga (0.693, 0.279, 0.693)
Ga (0.693, 0.693, 0.279)
Ga (0.721, 0.414, 0.414)

Output
* magnetization: 0.00 μB per formula unit
* energy relative to the elements: 1.4 eV per formula unit
* DOS(E_F): 0.6041 states/eV/atom
* uncorrected energy: -94.958 eV/f.u.
* crystal system: cubic

---

2.
Gd3BiRu4O14 | PBE | relaxed

Unit cell a=7.294 b=7.294 c=7.294 alpha=60.39 beta=60.39 gamma=60.39
Sites, in units of the cell vectors:
Gd (0.000, 0.500, 0.500)
Gd (0.500, 0.000, 0.500)
Gd (0.500, 0.500, 0.000)
Bi (0.500, 0.500, 0.500)
Ru (0.000, 0.000, 0.000)
Ru (0.000, 0.000, 0.500)
Ru (0.000, 0.500, 0.000)
Ru (0.500, 0.000, 0.000)
O (0.082, 0.669, 0.669)
O (0.083, 0.083, 0.667)
O (0.083, 0.667, 0.083)
O (0.331, 0.331, 0.918)
O (0.331, 0.918, 0.331)
O (0.333, 0.917, 0.917)
O (0.372, 0.372, 0.372)
O (0.628, 0.628, 0.628)
O (0.667, 0.083, 0.083)
O (0.669, 0.082, 0.669)
O (0.669, 0.669, 0.082)
O (0.917, 0.333, 0.917)
O (0.917, 0.917, 0.333)
O (0.918, 0.331, 0.331)

Output
* magnetization: 23.54 μB per formula unit
* DOS(E_F): 0.5057 states/eV/atom
* uncorrected energy: -193.560 eV/f.u.
* crystal system: trigonal

---

3.
Hf2ReOs | PBE | relaxed

Unit cell a=3.258 b=3.258 c=6.553 alpha=90.00 beta=90.00 gamma=90.00
Sites, in units of the cell vectors:
Hf (0.000, 0.000, 0.249)
Hf (0.000, 0.000, 0.751)
Re (0.500, 0.500, 0.500)
Os (0.500, 0.500, 0.000)

Output
* magnetization: 0.00 μB per formula unit
* energy above the lowest structure with this stoichiometry: 0.000 eV/atom
* energy relative to the elements: -2.1 eV per formula unit
* DOS(E_F): 0.6524 states/eV/atom
* uncorrected energy: -45.697 eV/f.u.
* crystal system: tetragonal

---

4.
Zr6Al2CoH10 | PBE | relaxed

Unit cell a=8.089 b=8.089 c=7.140 alpha=90.00 beta=90.00 gamma=120.00
Sites, in units of the cell vectors:
Zr (0.000, 0.738, 0.000)
Zr (0.000, 0.738, 0.500)
Zr (0.048, 0.423, 0.250)
Zr (0.262, 0.262, 0.000)
Zr (0.262, 0.262, 0.500)
Zr (0.375, 0.952, 0.250)
Zr (0.423, 0.048, 0.750)
Zr (0.577, 0.625, 0.250)
Zr (0.625, 0.577, 0.750)
Zr (0.738, 0.000, 0.000)
Zr (0.738, 0.000, 0.500)
Zr (0.952, 0.375, 0.750)
Al (0.333, 0.667, 0.552)
Al (0.333, 0.667, 0.948)
Al (0.667, 0.333, 0.052)
Al (0.667, 0.333, 0.448)
Co (0.000, 0.000, 0.250)
Co (0.000, 0.000, 0.750)
H (0.000, 0.000, 0.000)
H (0.000, 0.000, 0.500)
H (0.000, 0.280, 0.000)
H (0.000, 0.280, 0.500)
H (0.115, 0.706, 0.250)
H (0.117, 0.236, 0.750)
H (0.119, 0.883, 0.750)
H (0.236, 0.117, 0.250)
H (0.280, 0.000, 0.000)
H (0.280, 0.000, 0.500)
H (0.294, 0.409, 0.250)
H (0.409, 0.294, 0.750)
H (0.591, 0.885, 0.250)
H (0.706, 0.115, 0.750)
H (0.720, 0.720, 0.000)
H (0.720, 0.720, 0.500)
H (0.764, 0.881, 0.750)
H (0.881, 0.764, 0.250)
H (0.883, 0.119, 0.250)
H (0.885, 0.591, 0.750)

Output
* magnetization: 0.48 μB per formula unit
* DOS(E_F): 0.3619 states/eV/atom
* uncorrected energy: -108.044 eV/f.u.
* crystal system: hexagonal

---

5.
CsCdHgF6 | PBE | relaxed

Unit cell a=8.104 b=8.104 c=8.104 alpha=121.09 beta=118.17 gamma=90.66
Sites, in units of the cell vectors:
Cs (0.360, 0.110, 0.250)
Cs (0.640, 0.890, 0.750)
Cd (0.000, 0.000, 0.500)
Cd (0.000, 0.500, 0.000)
Hg (0.000, 0.500, 0.500)
Hg (0.500, 0.500, 0.000)
F (0.077, 0.419, 0.248)
F (0.077, 0.829, 0.658)
F (0.080, 0.830, 0.250)
F (0.328, 0.578, 0.750)
F (0.329, 0.171, 0.748)
F (0.329, 0.581, 0.158)
F (0.671, 0.419, 0.842)
F (0.671, 0.829, 0.252)
F (0.672, 0.422, 0.250)
F (0.920, 0.170, 0.750)
F (0.923, 0.171, 0.342)
F (0.923, 0.581, 0.752)

Output
* magnetization: 0.97 μB per formula unit
* DOS(E_F): 0.4144 states/eV/atom
* uncorrected energy: -30.153 eV/f.u.
* crystal system: orthorhombic

---

6.
Dy2ThNi | PBE | relaxed

Unit cell a=3.455 b=3.455 c=8.503 alpha=90.00 beta=90.00 gamma=90.00
Sites, in units of the cell vectors:
Dy (0.000, 0.000, 0.191)
Dy (0.000, 0.000, 0.809)
Th (0.500, 0.500, 0.500)
Ni (0.500, 0.500, 0.000)

Output
* magnetization: 0.00 μB per formula unit
* energy above the lowest structure with this stoichiometry: 0.070 eV/atom
* energy relative to the elements: -0.6 eV per formula unit
* DOS(E_F): 1.1309 states/eV/atom
* uncorrected energy: -23.027 eV/f.u.
* crystal system: tetragonal

---

7.
TlRuN2 | PBE | relaxed

Unit cell a=5.752 b=5.752 c=5.752 alpha=90.00 beta=90.00 gamma=90.00
Sites, in units of the cell vectors:
Tl (0.000, 0.000, 0.000)
Tl (0.000, 0.500, 0.500)
Tl (0.500, 0.000, 0.500)
Tl (0.500, 0.500, 0.000)
Ru (0.000, 0.000, 0.500)
Ru (0.000, 0.500, 0.000)
Ru (0.500, 0.000, 0.000)
Ru (0.500, 0.500, 0.500)
N (0.250, 0.250, 0.250)
N (0.250, 0.250, 0.750)
N (0.250, 0.750, 0.250)
N (0.250, 0.750, 0.750)
N (0.750, 0.250, 0.250)
N (0.750, 0.250, 0.750)
N (0.750, 0.750, 0.250)
N (0.750, 0.750, 0.750)

Output
* magnetization: 0.00 μB per formula unit
* energy above the lowest structure with this stoichiometry: 1.149 eV/atom
* DOS(E_F): 0.7724 states/eV/atom
* uncorrected energy: -21.709 eV/f.u.
* crystal system: cubic

---

8.
Pa4Ga8Pt | PBE | relaxed

Unit cell a=4.132 b=4.292 c=14.830 alpha=90.00 beta=90.00 gamma=90.00
Sites, in units of the cell vectors:
Pa (0.000, 0.000, 0.000)
Pa (0.000, 0.500, 0.439)
Pa (0.500, 0.000, 0.775)
Pa (0.500, 0.500, 0.308)
Ga (0.000, 0.000, 0.280)
Ga (0.000, 0.000, 0.592)
Ga (0.000, 0.500, 0.145)
Ga (0.000, 0.500, 0.852)
Ga (0.500, 0.000, 0.154)
Ga (0.500, 0.000, 0.462)
Ga (0.500, 0.500, 0.590)
Ga (0.500, 0.500, 0.952)
Pt (0.000, 0.500, 0.687)

Output
* magnetization: 0.00 μB per formula unit
* energy relative to the elements: -4.3 eV per formula unit
* DOS(E_F): 1.0738 states/eV/atom
* uncorrected energy: -72.490 eV/f.u.
* crystal system: orthorhombic

---

9.
CdTe2Se | PBE | relaxed

Unit cell a=3.915 b=3.993 c=16.225 alpha=90.00 beta=90.00 gamma=90.00
Sites, in units of the cell vectors:
Cd (0.000, 0.000, 0.000)
Cd (0.500, 0.500, 0.500)
Te (0.000, 0.000, 0.443)
Te (0.000, 0.500, 0.215)
Te (0.500, 0.000, 0.715)
Te (0.500, 0.500, 0.943)
Se (0.000, 0.500, 0.672)
Se (0.500, 0.000, 0.172)

Output
* magnetization: 0.00 μB per formula unit
* DOS(E_F): 0.5233 states/eV/atom
* uncorrected energy: -10.539 eV/f.u.
* crystal system: orthorhombic

---

10.
Tb2TiAl4Pt3 | PBE | relaxed

Unit cell a=4.128 b=4.128 c=11.114 alpha=90.00 beta=90.00 gamma=90.00
Sites, in units of the cell vectors:
Tb (0.000, 0.500, 0.248)
Tb (0.500, 0.000, 0.752)
Ti (0.000, 0.000, 0.500)
Al (0.000, 0.000, 0.000)
Al (0.000, 0.500, 0.646)
Al (0.500, 0.000, 0.354)
Al (0.500, 0.500, 0.000)
Pt (0.000, 0.500, 0.868)
Pt (0.500, 0.000, 0.132)
Pt (0.500, 0.500, 0.500)

Output
* magnetization: 0.00 μB per formula unit
* energy relative to the elements: -9.3 eV per formula unit
* DOS(E_F): 0.6398 states/eV/atom
* uncorrected energy: -59.569 eV/f.u.
* crystal system: tetragonal

---

11.
CaCdAg6 | PBE | relaxed

Unit cell a=5.433 b=5.433 c=5.433 alpha=90.00 beta=90.00 gamma=90.00
Sites, in units of the cell vectors:
Ca (0.000, 0.000, 0.000)
Cd (0.500, 0.500, 0.500)
Ag (0.000, 0.253, 0.500)
Ag (0.000, 0.747, 0.500)
Ag (0.253, 0.500, 0.000)
Ag (0.500, 0.000, 0.253)
Ag (0.500, 0.000, 0.747)
Ag (0.747, 0.500, 0.000)

Output
* magnetization: 0.00 μB per formula unit
* energy above the lowest structure with this stoichiometry: 0.068 eV/atom
* energy relative to the elements: -0.3 eV per formula unit
* DOS(E_F): 0.5253 states/eV/atom
* uncorrected energy: -20.325 eV/f.u.
* crystal system: cubic

---

12.
KNi3Bi | PBE | relaxed

Unit cell a=4.985 b=4.985 c=4.985 alpha=90.00 beta=90.00 gamma=90.00
Sites, in units of the cell vectors:
K (0.000, 0.000, 0.000)
Ni (0.000, 0.500, 0.500)
Ni (0.500, 0.000, 0.500)
Ni (0.500, 0.500, 0.000)
Bi (0.500, 0.500, 0.500)

Output
* magnetization: 1.80 μB per formula unit
* energy above the lowest structure with this stoichiometry: 0.000 eV/atom
* energy relative to the elements: 3.9 eV per formula unit
* DOS(E_F): 0.9863 states/eV/atom
* uncorrected energy: -18.448 eV/f.u.
* crystal system: cubic

---

13.
LiZrRh4 | PBE | relaxed

Unit cell a=5.156 b=5.156 c=5.156 alpha=60.00 beta=60.00 gamma=60.00
Sites, in units of the cell vectors:
Li (0.000, 0.000, 0.000)
Zr (0.250, 0.250, 0.250)
Rh (0.124, 0.625, 0.625)
Rh (0.625, 0.124, 0.625)
Rh (0.625, 0.625, 0.124)
Rh (0.625, 0.625, 0.625)

Output
* magnetization: 0.00 μB per formula unit
* energy relative to the elements: -2.3 eV per formula unit
* DOS(E_F): 1.2502 states/eV/atom
* uncorrected energy: -42.179 eV/f.u.
* crystal system: cubic

---

14.
HoGa2Au4 | PBE | relaxed

Unit cell a=17.615 b=4.444 c=6.887 alpha=90.00 beta=90.00 gamma=90.00
Sites, in units of the cell vectors:
Ho (0.140, 0.250, 0.007)
Ho (0.360, 0.750, 0.507)
Ho (0.640, 0.250, 0.493)
Ho (0.860, 0.750, 0.993)
Ga (0.041, 0.750, 0.259)
Ga (0.224, 0.250, 0.498)
Ga (0.276, 0.750, 0.998)
Ga (0.459, 0.250, 0.759)
Ga (0.541, 0.750, 0.241)
Ga (0.724, 0.250, 0.002)
Ga (0.776, 0.750, 0.502)
Ga (0.959, 0.250, 0.741)
Au (0.030, 0.750, 0.854)
Au (0.076, 0.250, 0.502)
Au (0.179, 0.750, 0.711)
Au (0.188, 0.750, 0.294)
Au (0.312, 0.250, 0.794)
Au (0.321, 0.250, 0.211)
Au (0.424, 0.750, 0.002)
Au (0.470, 0.250, 0.354)
Au (0.530, 0.750, 0.646)
Au (0.576, 0.250, 0.998)
Au (0.679, 0.750, 0.789)
Au (0.688, 0.750, 0.206)
Au (0.812, 0.250, 0.706)
Au (0.821, 0.250, 0.289)
Au (0.924, 0.750, 0.498)
Au (0.970, 0.250, 0.146)

Output
* magnetization: 0.00 μB per formula unit
* energy relative to the elements: -3.3 eV per formula unit
* DOS(E_F): 0.3837 states/eV/atom
* uncorrected energy: -27.081 eV/f.u.
* crystal system: orthorhombic

---

15.
Ca2SeCl | PBE | relaxed

Unit cell a=6.458 b=6.458 c=13.204 alpha=90.00 beta=90.00 gamma=90.00
Sites, in units of the cell vectors:
Ca (0.247, 0.250, 0.125)
Ca (0.250, 0.747, 0.375)
Ca (0.250, 0.753, 0.875)
Ca (0.253, 0.250, 0.625)
Ca (0.747, 0.750, 0.625)
Ca (0.750, 0.247, 0.875)
Ca (0.750, 0.253, 0.375)
Ca (0.753, 0.750, 0.125)
Se (0.000, 0.000, 0.000)
Se (0.000, 0.500, 0.250)
Se (0.500, 0.000, 0.750)
Se (0.500, 0.500, 0.500)
Cl (0.000, 0.000, 0.500)
Cl (0.000, 0.500, 0.750)
Cl (0.500, 0.000, 0.250)
Cl (0.500, 0.500, 0.000)

Output
* magnetization: 0.88 μB per formula unit
* energy above the lowest structure with this stoichiometry: 0.174 eV/atom
* DOS(E_F): 0.5399 states/eV/atom
* uncorrected energy: -15.674 eV/f.u.
* crystal system: tetragonal

---

16.
Nd2Cu5AgRh2 | PBE | relaxed

Unit cell a=9.301 b=9.301 c=4.038 alpha=90.00 beta=90.00 gamma=90.00
Sites, in units of the cell vectors:
Nd (0.175, 0.325, 0.000)
Nd (0.325, 0.825, 0.000)
Nd (0.675, 0.175, 0.000)
Nd (0.825, 0.675, 0.000)
Cu (0.000, 0.500, 0.500)
Cu (0.058, 0.799, 0.500)
Cu (0.201, 0.058, 0.500)
Cu (0.299, 0.558, 0.500)
Cu (0.442, 0.299, 0.500)
Cu (0.500, 0.000, 0.500)
Cu (0.558, 0.701, 0.500)
Cu (0.701, 0.442, 0.500)
Cu (0.799, 0.942, 0.500)
Cu (0.942, 0.201, 0.500)
Ag (0.000, 0.000, 0.000)
Ag (0.500, 0.500, 0.000)
Rh (0.125, 0.625, 0.000)
Rh (0.375, 0.125, 0.000)
Rh (0.625, 0.875, 0.000)
Rh (0.875, 0.375, 0.000)

Output
* magnetization: 0.00 μB per formula unit
* energy relative to the elements: -1.8 eV per formula unit
* DOS(E_F): 0.4771 states/eV/atom
* uncorrected energy: -49.417 eV/f.u.
* crystal system: tetragonal

---

17.
MgHPd2 | PBE | relaxed

Unit cell a=6.165 b=6.165 c=5.485 alpha=90.00 beta=90.00 gamma=90.00
Sites, in units of the cell vectors:
Mg (0.000, 0.000, 0.000)
Mg (0.000, 0.500, 0.250)
Mg (0.500, 0.000, 0.750)
Mg (0.500, 0.500, 0.500)
H (0.000, 0.000, 0.500)
H (0.000, 0.500, 0.750)
H (0.500, 0.000, 0.250)
H (0.500, 0.500, 0.000)
Pd (0.140, 0.250, 0.625)
Pd (0.250, 0.640, 0.875)
Pd (0.250, 0.860, 0.375)
Pd (0.360, 0.250, 0.125)
Pd (0.640, 0.750, 0.125)
Pd (0.750, 0.140, 0.375)
Pd (0.750, 0.360, 0.875)
Pd (0.860, 0.750, 0.625)

Output
* magnetization: 0.00 μB per formula unit
* energy above the lowest structure with this stoichiometry: 0.050 eV/atom
* DOS(E_F): 0.3846 states/eV/atom
* uncorrected energy: -16.832 eV/f.u.
* crystal system: tetragonal

---

18.
BaMnTe2 | PBE | relaxed

Unit cell a=4.611 b=7.188 c=8.406 alpha=90.00 beta=90.00 gamma=90.00
Sites, in units of the cell vectors:
Ba (0.000, 0.000, 0.000)
Ba (0.500, 0.500, 0.000)
Mn (0.000, 0.000, 0.500)
Mn (0.500, 0.500, 0.500)
Te (0.000, 0.500, 0.287)
Te (0.000, 0.500, 0.713)
Te (0.500, 0.000, 0.287)
Te (0.500, 0.000, 0.713)

Output
* magnetization: 4.96 μB per formula unit
* DOS(E_F): 0.1582 states/eV/atom
* uncorrected energy: -19.495 eV/f.u.
* crystal system: orthorhombic

---

19.
Ca2Be3CdAu12 | PBE | relaxed

Unit cell a=7.892 b=7.892 c=7.892 alpha=63.94 beta=63.94 gamma=63.94
Sites, in units of the cell vectors:
Ca (0.099, 0.099, 0.099)
Ca (0.901, 0.901, 0.901)
Be (0.000, 0.500, 0.500)
Be (0.500, 0.000, 0.500)
Be (0.500, 0.500, 0.000)
Cd (0.500, 0.500, 0.500)
Au (0.100, 0.637, 0.637)
Au (0.160, 0.160, 0.602)
Au (0.160, 0.602, 0.160)
Au (0.363, 0.363, 0.900)
Au (0.363, 0.900, 0.363)
Au (0.398, 0.840, 0.840)
Au (0.602, 0.160, 0.160)
Au (0.637, 0.100, 0.637)
Au (0.637, 0.637, 0.100)
Au (0.840, 0.398, 0.840)
Au (0.840, 0.840, 0.398)
Au (0.900, 0.363, 0.363)

Output
* magnetization: 0.00 μB per formula unit
* energy relative to the elements: -2.5 eV per formula unit
* DOS(E_F): 0.3093 states/eV/atom
* uncorrected energy: -57.942 eV/f.u.
* crystal system: trigonal

---

20.
SrMnC | PBE | relaxed

Unit cell a=3.561 b=3.561 c=8.880 alpha=90.00 beta=90.00 gamma=90.00
Sites, in units of the cell vectors:
Sr (0.250, 0.250, 0.206)
Sr (0.750, 0.750, 0.794)
Mn (0.250, 0.750, 0.500)
Mn (0.750, 0.250, 0.500)
C (0.250, 0.250, 0.598)
C (0.750, 0.750, 0.402)

Output
* magnetization: 1.32 μB per formula unit
* energy relative to the elements: -0.1 eV per formula unit
* DOS(E_F): 0.7400 states/eV/atom
* uncorrected energy: -20.126 eV/f.u.
* crystal system: tetragonal